1.
The following is a DFT calculation (PBE) of crystalline Ho9TmIn2 at its relaxed geometry.

a b c (Å): 4.8483 4.8483 14.7981
angles (deg): 90.00 90.00 90.00
Space group P4/mmm (No. 123)
One atom of each set of equivalent atoms:
Ho: 0.0000 0.0000 0.0000 [1 per cell]
Ho: 0.0000 0.0000 0.3367 [2 per cell]
Ho: 0.0000 0.5000 0.1713 [4 per cell]
Ho: 0.0000 0.5000 0.5000 [2 per cell]
Tm: 0.5000 0.5000 0.0000 [1 per cell]
In: 0.5000 0.5000 0.3388 [2 per cell]

Values from the calculation:
- magnetic moment (μB per atom) = 0.00
- calculated formation energy (eV per atom) = -0.1657
- DFT total energy (eV/atom) = -4.428


2.
The following is a DFT calculation (PBE) of crystalline Ho7Tm3In at its relaxed geometry.

a b c (Å): 6.9014 6.9014 8.4181
angles (deg): 90.00 90.00 120.00
Space group P3m1 (No. 156)
One atom of each set of equivalent atoms:
Ho: 0.0000 0.0000 0.0000 [1 per cell]
Ho: 0.1636 0.3272 0.6638 [3 per cell]
Ho: 0.5015 0.0030 0.9897 [3 per cell]
Tm: 0.3319 0.1659 0.3281 [3 per cell]
In: 0.6667 0.3333 0.6597 [1 per cell]

Values from the calculation:
- magnetic moment (μB per atom) = 0.00
- calculated formation energy (eV per atom) = 0.1239
- DFT total energy (eV/atom) = -4.258


3.
The following is a DFT calculation (PBE) of crystalline Ho6TmIn2 at its relaxed geometry.

a b c (Å): 6.2527 6.2527 15.0590
angles (deg): 90.00 90.00 90.00
Space group I-42m (No. 121)
One atom of each set of equivalent atoms:
Ho: 0.0000 0.5000 0.2500 [4 per cell]
Ho: 0.1789 0.1789 0.0864 [8 per cell]
Tm: 0.0000 0.0000 0.5000 [2 per cell]
In: 0.0000 0.0000 0.2868 [4 per cell]

Values from the calculation:
- magnetic moment (μB per atom) = 0.00
- calculated formation energy (eV per atom) = 0.3369
- DFT total energy (eV/atom) = -3.820


4.
The following is a DFT calculation (PBE) of crystalline HoTm8In2 at its relaxed geometry.

a b c (Å): 8.7543 15.0035 5.5242
angles (deg): 90.00 114.89 90.00
Space group C2/m (No. 12)
One atom of each set of equivalent atoms:
Ho: 0.0000 0.0000 0.0000 [2 per cell]
Tm: 0.0000 0.2150 0.0000 [4 per cell]
Tm: 0.0964 0.5000 0.7976 [4 per cell]
Tm: 0.2094 0.1144 0.6235 [8 per cell]
In: 0.0000 0.3068 0.5000 [4 per cell]

Values from the calculation:
- magnetic moment (μB per atom) = 0.00
- calculated formation energy (eV per atom) = -0.0228
- DFT total energy (eV/atom) = -4.189


5.
The following is a DFT calculation (PBE) of crystalline Ho3TmIn at its relaxed geometry.

a b c (Å): 4.7873 24.8509 4.7873
angles (deg): 90.00 90.00 90.00
Space group Cmcm (No. 63)
One atom of each set of equivalent atoms:
Ho: 0.0000 0.0498 0.2500 [4 per cell]
Ho: 0.0000 0.2501 0.2500 [4 per cell]
Ho: 0.0000 0.4474 0.2500 [4 per cell]
Tm: 0.0000 0.1501 0.7500 [4 per cell]
In: 0.0000 0.3480 0.7500 [4 per cell]

Values from the calculation:
- magnetic moment (μB per atom) = 0.00
- calculated formation energy (eV per atom) = -0.1847
- DFT total energy (eV/atom) = -4.373


6.
The following is a DFT calculation (PBE) of crystalline Ho2Tm2In3 at its relaxed geometry.

a b c (Å): 30.5124 3.5135 3.5134
angles (deg): 90.00 96.56 90.00
Space group C2/m (No. 12)
One atom of each set of equivalent atoms:
Ho: 0.0701 0.0000 0.0705 [4 per cell]
Tm: 0.2095 0.0000 0.2099 [4 per cell]
In: 0.0000 0.5000 0.5000 [2 per cell]
In: 0.1401 0.5000 0.6407 [4 per cell]

Values from the calculation:
- magnetic moment (μB per atom) = 0.00
- calculated formation energy (eV per atom) = -0.3950
- DFT total energy (eV/atom) = -4.154


7.
The following is a DFT calculation (PBE) of crystalline Ho3TmIn2 at its relaxed geometry.

a b c (Å): 3.3730 5.6545 18.5398
angles (deg): 90.00 90.00 90.00
Space group Immm (No. 71)
One atom of each set of equivalent atoms:
Ho: 0.0000 0.0000 0.0000 [2 per cell]
Ho: 0.0000 0.5000 0.1859 [4 per cell]
Tm: 0.0000 0.5000 0.0000 [2 per cell]
In: 0.0000 0.5000 0.3538 [4 per cell]

Values from the calculation:
- magnetic moment (μB per atom) = 0.00
- calculated formation energy (eV per atom) = 0.1223
- DFT total energy (eV/atom) = -3.825


8.
The following is a DFT calculation (PBE) of crystalline Ho5TmIn2 at its relaxed geometry.

a b c (Å): 3.5051 10.4867 12.6699
angles (deg): 90.00 90.00 90.00
Space group Immm (No. 71)
One atom of each set of equivalent atoms:
Ho: 0.0000 0.0000 0.0000 [2 per cell]
Ho: 0.0000 0.2705 0.3669 [8 per cell]
Tm: 0.0000 0.5000 0.0000 [2 per cell]
In: 0.0000 0.0000 0.2599 [4 per cell]

Values from the calculation:
- magnetic moment (μB per atom) = 0.00
- calculated formation energy (eV per atom) = -0.1579
- DFT total energy (eV/atom) = -4.263


9.
The following is a DFT calculation (PBE) of crystalline Ho2Tm5In at its relaxed geometry.

a b c (Å): 5.9418 9.0616 9.3820
angles (deg): 104.34 104.64 91.87
Space group P1 (No. 1)
One atom of each set of equivalent atoms:
Ho: 0.0000 0.0000 0.0000 [1 per cell]
Ho: 0.1094 0.3820 0.2536 [1 per cell]
Ho: 0.4598 0.8721 0.2384 [1 per cell]
Ho: 0.6335 0.5711 0.3759 [1 per cell]
Tm: 0.0580 0.0565 0.3779 [1 per cell]
Tm: 0.1785 0.7540 0.5131 [1 per cell]
Tm: 0.2641 0.1221 0.7695 [1 per cell]
Tm: 0.3366 0.4359 0.6383 [1 per cell]
Tm: 0.4694 0.8034 0.8788 [1 per cell]
Tm: 0.5626 0.1965 0.1437 [1 per cell]
Tm: 0.7123 0.9559 0.6194 [1 per cell]
Tm: 0.8108 0.3177 0.8796 [1 per cell]
Tm: 0.9131 0.6828 0.1265 [1 per cell]
Tm: 0.9145 0.6302 0.7532 [1 per cell]
In: 0.3562 0.4965 0.0028 [1 per cell]
In: 0.7358 0.2752 0.5147 [1 per cell]

Values from the calculation:
- magnetic moment (μB per atom) = 0.00
- calculated formation energy (eV per atom) = -0.0504
- DFT total energy (eV/atom) = -4.332


10.
The following is a DFT calculation (PBE) of crystalline Ho6TmIn6 at its relaxed geometry.

a b c (Å): 6.2504 6.2504 10.6559
angles (deg): 90.00 90.00 120.00
Space group P6/mmm (No. 191)
One atom of each set of equivalent atoms:
Ho: 0.0000 0.0000 0.1630 [2 per cell]
Ho: 0.3333 0.6667 0.0000 [2 per cell]
Ho: 0.3333 0.6667 0.5000 [2 per cell]
Tm: 0.0000 0.0000 0.5000 [1 per cell]
In: 0.0000 0.5000 0.2537 [6 per cell]

Values from the calculation:
- magnetic moment (μB per atom) = 0.02
- calculated formation energy (eV per atom) = -0.2968
- DFT total energy (eV/atom) = -4.017


11.
The following is a DFT calculation (PBE) of crystalline Ho8Tm2In3 at its relaxed geometry.

a b c (Å): 6.3608 6.3608 34.6958
angles (deg): 90.00 90.00 120.00
Space group R-3m (No. 166, hexagonal axes)
One atom of each set of equivalent atoms:
Ho: 0.0000 0.0000 0.2256 [6 per cell]
Ho: 0.0009 0.5004 0.7201 [18 per cell]
Tm: 0.0000 0.0000 0.1358 [6 per cell]
In: 0.0000 0.0000 0.3116 [6 per cell]
In: 0.0000 0.0000 0.5000 [3 per cell]

Values from the calculation:
- magnetic moment (μB per atom) = 0.16
- calculated formation energy (eV per atom) = 0.1370
- DFT total energy (eV/atom) = -4.000


12.
The following is a DFT calculation (PBE) of crystalline Ho7TmIn3 at its relaxed geometry.

a b c (Å): 11.3041 11.6418 5.7520
angles (deg): 90.00 119.43 90.00
Space group C2/m (No. 12)
One atom of each set of equivalent atoms:
Ho: 0.0000 0.0000 0.0000 [2 per cell]
Ho: 0.1726 0.5000 0.1680 [4 per cell]
Ho: 0.1801 0.2882 0.6836 [8 per cell]
Tm: 0.0000 0.0000 0.5000 [2 per cell]
In: 0.0000 0.2655 0.0000 [4 per cell]
In: 0.0000 0.5000 0.5000 [2 per cell]

Values from the calculation:
- magnetic moment (μB per atom) = 0.00
- calculated formation energy (eV per atom) = -0.0158
- DFT total energy (eV/atom) = -4.082